# 1
Below is an optimized crystal structure of PuTaBe, with properties calculated at the PBE level.

a = 4.3150 Å, b = 4.3150 Å, c = 4.3150 Å
α = 60.00°, β = 60.00°, γ = 60.00°
Site moments in Bohr magnetons follow the coordinates.
Sites, in units of the cell vectors:
Be (0.2500, 0.2500, 0.2500)  0.06
Ta (0.7500, 0.7500, 0.7500)  0.05
Pu (0.0000, 0.0000, 0.0000)  4.62

Volume: 18.937 Å³/atom
Theoretical density: 12.68 g/cm3
M_tot: 4.86 μB per formula unit
Raw total energy: -8.505 eV/atom
SG: F-43m



# 2
Below is an optimized crystal structure of TbPuBe, with properties calculated at the PBE level.

a = 4.6814 Å, b = 4.6814 Å, c = 4.6814 Å
α = 60.00°, β = 60.00°, γ = 60.00°
Site moments in Bohr magnetons follow the coordinates.
Sites, in units of the cell vectors:
Tb (0.7500, 0.7500, 0.7500)  0.23
Be (0.0000, 0.0000, 0.0000)  -0.05
Pu (0.2500, 0.2500, 0.2500)  5.32

Volume: 24.182 Å³/atom
Theoretical density: 9.43 g/cm3
M_tot: 5.78 μB per formula unit
Energy relative to the lowest polymorph listed for this composition: 0.000 eV per formula unit
SG: F-43m



# 3
Below is an optimized crystal structure of PuBeTe, with properties calculated at the PBE level.

a = 4.8186 Å, b = 4.8186 Å, c = 4.8186 Å
α = 60.00°, β = 60.00°, γ = 60.00°
Site moments in Bohr magnetons follow the coordinates.
Sites, in units of the cell vectors:
Pu (0.0000, 0.0000, 0.0000)  5.59
Te (0.2500, 0.2500, 0.2500)  0.03
Be (0.5000, 0.5000, 0.5000)  0.10

Volume: 26.370 Å³/atom
Theoretical density: 7.99 g/cm3
M_tot: 6.32 μB per formula unit
Energy relative to the lowest polymorph listed for this composition: 1.205 eV per formula unit
SG: F-43m